1.
This record from Alexandria via LeMat-Bulk describes a relaxed Li2PPb crystal. The functional is GGA-PBE.

Computed properties:
Formation energy in meV/atom: -206.6
Uncorrected energy in eV/atom: -3.4431
Total magnetization in μB per atom: 0.00
Calculated density in g/cm3: 5.6

a b c (Å): 5.0474 5.0474 3.0784
angles (deg): 89.82 89.82 107.53
Closest atoms and distances in Å follow each position.
Element x y z (fractional)
Li  0.0000  0.0000  0.0000  4 Pb 2.95-2.96, 4 P 2.95-2.96, 4 Li 2.98-3.08
Li  0.5000  0.5000  0.0000  4 P 2.95-2.96, 4 Pb 2.95-2.96, 4 Li 2.98-3.08
P  0.5000  0.0000  0.5000  8 Li 2.95-2.96, 2 Pb 2.98, 2 P 3.08
Pb  0.0000  0.5000  0.5000  8 Li 2.95-2.96, 2 P 2.98, 2 Pb 3.08

2.
This record from Alexandria via LeMat-Bulk describes a relaxed NaMg5Tl7 crystal. The functional is GGA-PBE.

Computed properties:
Formation energy in meV/atom: -20.0
Uncorrected energy in eV/atom: -2.0089
Total magnetization in μB per atom: 0.00
Calculated density in g/cm3: 7.4

a b c (Å): 6.2184 8.1382 8.1382
angles (deg): 82.67 67.54 67.54
Closest atoms and distances in Å follow each position.
Element x y z (fractional)
Na  0.9836  0.0164  0.0164  10 Tl 3.44-3.81
Mg  0.5041  0.9963  0.4902  7 Tl 3.07-3.36, 3 Mg 3.08-3.14
Mg  0.0093  0.9963  0.4902  7 Tl 3.07-3.36, 3 Mg 3.08-3.14
Mg  0.5041  0.4902  0.9963  7 Tl 3.07-3.36, 3 Mg 3.08-3.14
Mg  0.0093  0.4902  0.9963  7 Tl 3.07-3.36, 3 Mg 3.08-3.14
Mg  0.7472  0.7528  0.7528  4 Mg 3.14, 6 Tl 3.16-3.19
Tl  0.6304  0.3696  0.3696  4 Mg 3.36, 5 Tl 3.36-3.58, 1 Na 3.72
Tl  0.3107  0.6893  0.6893  6 Mg 3.18, 1 Tl 3.36, 1 Na 3.44
Tl  0.9991  0.3363  0.6656  5 Mg 3.14-3.24, 3 Tl 3.39-3.50
Tl  0.9991  0.6656  0.3363  5 Mg 3.14-3.24, 3 Tl 3.39-3.50
Tl  0.2736  0.2264  0.2264  4 Mg 3.07, 4 Tl 3.24-3.39
Tl  0.5148  0.7984  0.1720  5 Mg 3.07-3.19, 1 Tl 3.24
Tl  0.5148  0.1720  0.7984  5 Mg 3.07-3.19, 1 Tl 3.24

3.
This record from Alexandria via LeMat-Bulk describes a relaxed KBiPb2 crystal. The functional is GGA-PBE.

Computed properties:
Formation energy in meV/atom: -103.5
Uncorrected energy in eV/atom: -3.2023
Total magnetization in μB per atom: 0.00
Calculated density in g/cm3: 8.4

a b c (Å): 5.0863 5.0768 5.0768
angles (deg): 90.00 90.00 90.00
Closest atoms and distances in Å follow each position.
Element x y z (fractional)
Pb  0.0000  0.0000  0.5000  4 Pb 3.59, 4 Bi 3.59, 4 K 3.59
Pb  0.0000  0.5000  0.0000  4 Pb 3.59, 4 K 3.59, 4 Bi 3.59
K  0.5000  0.0000  0.0000  4 Bi 3.59, 8 Pb 3.59
Bi  0.5000  0.5000  0.5000  4 K 3.59, 8 Pb 3.59